# 1
! BeTcAu2 (PBE, optimized geometry); values from VASP
&SYSTEM
  ibrav = 0, nat = 4, ntyp = 3
/
ATOMIC_SPECIES
Be 9.01 Be.upf
Tc 98.00 Tc.upf
Au 196.97 Au.upf
ATOMIC_POSITIONS crystal
Be 0.0000 0.0000 0.0000
Tc 0.5000 0.5000 0.0000
Au 0.2500 0.7500 0.5000
Au 0.7500 0.2500 0.5000
CELL_PARAMETERS angstrom
-1.9948 1.9948 3.8358
1.9948 -1.9948 3.8358
1.9948 1.9948 -3.8358
! DOS at the Fermi energy (states/eV/atom): 0.845
! DFT formation energy (eV per atom): 0.399
! Symmetry: I4/mmm, No. 139
! Raw total energy (eV per atom): -4.76

# 2
! PrCuBr6 (PBE, optimized geometry); values from VASP
&SYSTEM
  ibrav = 0, nat = 8, ntyp = 3
/
ATOMIC_SPECIES
Pr 140.91 Pr.upf
Cu 63.55 Cu.upf
Br 79.90 Br.upf
ATOMIC_POSITIONS crystal
Pr 0.0000 0.0000 0.0000
Cu 0.5000 0.5000 0.0000
Br 0.0220 0.8147 0.3644
Br 0.2665 0.3856 0.8333
Br 0.4543 0.8210 0.8291
Br 0.5457 0.1790 0.1709
Br 0.7335 0.6144 0.1667
Br 0.9780 0.1853 0.6356
CELL_PARAMETERS angstrom
5.6747 0.0000 0.0000
0.3627 7.2138 0.0000
1.9808 2.2363 7.3722
! Formation energy from raw total energies (eV/atom): -0.915
! DOS at the Fermi energy (states/eV/atom): 0.003
! Symmetry: P-1, No. 2
! Raw total energy (eV per atom): -3.28

# 3
! HoIn2Pd6 (PBE, optimized geometry); values from VASP
&SYSTEM
  ibrav = 0, nat = 9, ntyp = 3
/
ATOMIC_SPECIES
Ho 164.93 Ho.upf
In 114.82 In.upf
Pd 106.42 Pd.upf
ATOMIC_POSITIONS crystal
Ho 0.0000 0.0000 0.0000
In 0.3376 0.3376 0.3372
In 0.6624 0.6624 0.6628
Pd 0.1305 0.5165 0.8234
Pd 0.2026 0.7974 0.5000
Pd 0.4835 0.8695 0.1766
Pd 0.5165 0.1305 0.8234
Pd 0.7974 0.2026 0.5000
Pd 0.8695 0.4835 0.1766
CELL_PARAMETERS angstrom
5.1897 -3.8479 0.0000
5.1897 3.8479 0.0000
-2.1114 0.0000 4.1910
! DOS at the Fermi energy (states/eV/atom): 0.392
! DFT formation energy (eV per atom): -0.476
! Symmetry: C2/m, No. 12
! Raw total energy (eV per atom): -5.06